# 1
Entry from Alexandria via LeMat-Bulk: an optimized crystal structure of Na2LiZn2Cd5 (PBE-GGA).

abc: 10.958 10.958 3.720
angles: 90.00 90.00 90.00
Space group P4/mbm (No. 127)
Inequivalent atoms, fractional coordinates:
Na 0.174 0.326 0.000 [4 per cell]
Li 0.000 0.000 0.000 [2 per cell]
Zn 0.130 0.630 0.000 [4 per cell]
Cd 0.000 0.500 0.500 [2 per cell]
Cd 0.060 0.808 0.500 [8 per cell]

- uncorrected energy (eV per atom) = -1.237
- crystal system = tetragonal
- DOS at the Fermi energy (states/eV/atom) = 0.36
- calculated volume (Å³ per cell) = 446.62
- formation energy from the elements (eV per atom) = -0.069

=====

# 2
Entry from Alexandria via LeMat-Bulk: an optimized crystal structure of PmSn2Sb (PBE-GGA).

abc: 4.663 4.663 5.025
angles: 90.00 90.00 90.00
Space group P4/mmm (No. 123)
Inequivalent atoms, fractional coordinates:
Pm 0.000 0.000 0.000 [1 per cell]
Sn 0.000 0.500 0.500 [2 per cell]
Sb 0.500 0.500 0.000 [1 per cell]

- relative energy among the computed polymorphs (meV per atom) = 0
- energy relative to the elements, uncorrected (eV/atom) = -0.488
- uncorrected energy (eV per atom) = -4.708
- crystal system = tetragonal
- DOS at the Fermi energy (states/eV/atom) = 0.57
- calculated volume (Å³ per cell) = 109.26

=====

# 3
Entry from Alexandria via LeMat-Bulk: an optimized crystal structure of Pm2Dy2Sb2C (PBE-GGA).

abc: 4.790 4.790 16.232
angles: 90.00 90.00 90.00
Space group I4/mmm (No. 139)
Inequivalent atoms, fractional coordinates:
Pm 0.000 0.000 0.162 [4 per cell]
Dy 0.000 0.500 0.000 [4 per cell]
Sb 0.000 0.000 0.362 [4 per cell]
C 0.000 0.000 0.000 [2 per cell]

- energy relative to the elements, uncorrected (eV/atom) = -0.825
- uncorrected energy (eV per atom) = -5.992
- crystal system = tetragonal
- DOS at the Fermi energy (states/eV/atom) = 0.96
- calculated volume (Å³ per cell) = 372.50

=====

- Which of these has the highest calculated volume?
  Na2LiZn2Cd5